This record from the Alexandria database describes a relaxed Li4AcV3O12 crystal. The functional is GGA+U.

Computed properties:
Its space group is Im-3, No. 204. For the total energy, the calculation gives -0.46668 Ry/atom. The density of states at the Fermi level comes out at 0.425 states/eV per atom. The calculation puts the total magnetization at 2.05 μB/f.u.

Cell lengths 6.5087, 6.5087, 6.5087 Å; angles 109.47, 109.47, 109.47 degrees
Site moments in Bohr magnetons follow the coordinates.
Fractional positions:
Li 0.5000 0.0000 0.0000  0.00
Li 0.5000 0.5000 0.5000  0.00
Li 0.0000 0.5000 0.0000  0.00
Li 0.0000 0.0000 0.5000  0.00
Ac 0.0000 0.0000 0.0000  0.02
V 0.0000 0.5000 0.5000  -0.22
V 0.5000 0.5000 0.0000  -0.22
V 0.5000 0.0000 0.5000  -0.22
O 0.3250 0.8341 0.1591  0.20
O 0.6750 0.1659 0.8409  0.20
O 0.6750 0.8341 0.5091  0.20
O 0.8409 0.6750 0.1659  0.20
O 0.8341 0.1591 0.3250  0.20
O 0.1659 0.4909 0.3250  0.20
O 0.4909 0.3250 0.1659  0.20
O 0.1659 0.8409 0.6750  0.20
O 0.3250 0.1659 0.4909  0.20
O 0.1591 0.3250 0.8341  0.20
O 0.8341 0.5091 0.6750  0.20
O 0.5091 0.6750 0.8341  0.20